First-principles (PBE with a Hubbard U) data for a relaxed MnSiHNO crystal, as listed in Alexandria via LeMat-Bulk.

Calculated values
Its final energy is -34.18 eV per cell. As for the volume: 14.04 Å³/atom. The space-group type is Cm. For the total magnetization, the calculation gives 5.00 μB/cell.

The structure in extended XYZ format:
```
5
Lattice="5.245 -1.448 0.000 5.245 1.448 0.000 -2.195 0.000 4.620" Properties=species:S:1:pos:R:3 pbc="T T T"
Mn 0.000 0.000 0.000
Si 0.691 0.000 2.639
H -0.462 0.000 3.672
N 5.745 0.000 1.692
O 2.014 0.000 3.595
```

=====

First-principles (PBE with a Hubbard U) data for a relaxed MnSiHNO crystal, as listed in Alexandria via LeMat-Bulk.

Calculated values
Its final energy is -34.42 eV per cell. As for the volume: 11.91 Å³/atom. The space-group type is Pm. For the total magnetization, the calculation gives 5.00 μB/cell.

The structure in extended XYZ format:
```
5
Lattice="4.093 0.000 0.000 0.000 3.033 0.000 -1.952 0.000 4.795" Properties=species:S:1:pos:R:3 pbc="T T T"
Mn 0.000 0.000 0.000
Si 1.799 1.516 1.811
H 0.255 1.516 1.728
N 2.149 0.000 0.999
O 2.165 1.516 3.402
```

=====

First-principles (PBE with a Hubbard U) data for a relaxed MnSiHNO crystal, as listed in Alexandria via LeMat-Bulk.

Calculated values
Its final energy is -32.38 eV per cell. As for the volume: 10.10 Å³/atom. The space-group type is Imm2. For the total magnetization, the calculation gives 4.43 μB/cell.

The structure in extended XYZ format:
```
5
Lattice="-1.494 1.893 4.466 1.494 -1.893 4.466 1.494 1.893 -4.466" Properties=species:S:1:pos:R:3 pbc="T T T"
Mn 0.000 0.000 0.000
Si 0.000 0.000 2.779
H 1.494 0.000 1.363
N 1.494 0.000 3.775
O 0.000 1.893 2.777
```

=====

What did the second record say?
First-principles (PBE with a Hubbard U) data for a relaxed MnSiHNO crystal, as listed in Alexandria via LeMat-Bulk.

Calculated values
Its final energy is -34.42 eV per cell. As for the volume: 11.91 Å³/atom. The space-group type is Pm. For the total magnetization, the calculation gives 5.00 μB/cell.

The structure in extended XYZ format:
```
5
Lattice="4.093 0.000 0.000 0.000 3.033 0.000 -1.952 0.000 4.795" Properties=species:S:1:pos:R:3 pbc="T T T"
Mn 0.000 0.000 0.000
Si 1.799 1.516 1.811
H 0.255 1.516 1.728
N 2.149 0.000 0.999
O 2.165 1.516 3.402
```

=====

> Which of these has the highest final energy?

number 3